First-principles (PBE) data for a geometry-optimized RbCuBrCl structure, as listed in the Alexandria database.

The calculation puts the magnetic moment at 0.000 μB per atom. The calculated density is 3.59 g cm⁻³. Its total energy is -12.58 eV per cell.

abc: 5.5796 5.5796 4.2244
angles: 90.12 90.12 68.57
With the nearest neighbours (Å) after each atom.
Positions (direct):
Rb: 0.0000 0.0000 0.0000  3 Cl 3.24-3.43, 2 Br 3.45
Cu: 0.5538 0.5538 0.5008  2 Cl 2.28-2.29, 1 Br 2.38
Br: 0.2960 0.2960 0.5018  1 Cu 2.38
Cl: 0.6487 0.6487 0.0017  2 Cu 2.28-2.29

First-principles (PBE) data for a geometry-optimized Na4NdY3Se8 structure, as listed in the Alexandria database.

The calculation puts the magnetic moment at 0.000 μB per atom. The calculation puts the density of states at the Fermi level at 0.000 states/eV per atom. The calculated density is 4.43 g cm⁻³. Its total energy is -84.60 eV per cell.

abc: 8.5199 8.5199 8.5199
angles: 58.80 58.80 58.80
With the nearest neighbours (Å) after each atom.
Positions (direct):
Na: 0.0000 0.0000 0.0000  6 Se 3.02
Na: 0.0000 0.5000 0.5000  6 Se 3.07-3.08
Na: 0.5000 0.0000 0.5000  6 Se 3.07-3.08
Na: 0.5000 0.5000 0.0000  6 Se 3.07-3.08
Nd: 0.5000 0.5000 0.5000  6 Se 2.95
Y: 0.0000 0.0000 0.5000  6 Se 2.89-2.90
Y: 0.0000 0.5000 0.0000  6 Se 2.89-2.90
Y: 0.5000 0.0000 0.0000  6 Se 2.89-2.90
Se: 0.2373 0.7474 0.7474  2 Y 2.89, 1 Nd 2.95, 3 Na 3.02-3.08
Se: 0.2430 0.2430 0.2430  3 Y 2.90, 3 Na 3.07
Se: 0.2526 0.2526 0.7627  2 Y 2.89, 1 Nd 2.95, 3 Na 3.02-3.08
Se: 0.2526 0.7627 0.2526  2 Y 2.89, 1 Nd 2.95, 3 Na 3.02-3.08
Se: 0.7474 0.2373 0.7474  2 Y 2.89, 1 Nd 2.95, 3 Na 3.02-3.08
Se: 0.7474 0.7474 0.2373  2 Y 2.89, 1 Nd 2.95, 3 Na 3.02-3.08
Se: 0.7570 0.7570 0.7570  3 Y 2.90, 3 Na 3.07
Se: 0.7627 0.2526 0.2526  2 Y 2.89, 1 Nd 2.95, 3 Na 3.02-3.08

First-principles (PBE) data for a geometry-optimized CsNpPaS4 structure, as listed in the Alexandria database.

The calculation puts the magnetic moment at 0.714 μB per atom. The calculation puts the density of states at the Fermi level at 1.601 states/eV per atom. The calculated density is 5.35 g cm⁻³. Its total energy is -99.09 eV per cell.

abc: 8.6303 8.6303 8.6303
angles: 120.97 119.60 89.51
With the nearest neighbours (Å) after each atom.
Positions (direct):
Cs: 0.3770 0.1270 0.2500  4 S 3.16-3.17
Cs: 0.6230 0.8730 0.7500  4 S 3.16-3.17
Np: 0.0000 0.5000 0.5000  6 S 2.81-2.83
Np: 0.5000 0.5000 0.0000  6 S 2.81-2.83
Pa: 0.0000 0.0000 0.5000  6 S 2.71-2.75
Pa: 0.0000 0.5000 0.0000  6 S 2.71-2.75
S: 0.1761 0.7279 0.4482  2 Pa 2.75, 1 Np 2.83
S: 0.2193 0.2635 0.5442  1 Pa 2.71, 2 Np 2.81
S: 0.2193 0.6750 0.9558  1 Pa 2.71, 2 Np 2.81
S: 0.2203 0.2721 0.9482  2 Pa 2.75, 1 Np 2.83
S: 0.7797 0.7279 0.0518  2 Pa 2.75, 1 Np 2.83
S: 0.7807 0.3250 0.0442  1 Pa 2.71, 2 Np 2.81
S: 0.7807 0.7365 0.4558  1 Pa 2.71, 2 Np 2.81
S: 0.8239 0.2721 0.5518  2 Pa 2.75, 1 Np 2.83